DFT (PBE-GGA) results for a relaxed structure of CaInCu4.

Unit cell a=5.1458 b=5.1458 c=5.1458 alpha=60.00 beta=60.00 gamma=60.00
With the nearest neighbours (Å) after each atom.
Fractional positions:
1 Ca 0.0000 0.0000 0.0000  12 Cu 3.02, 4 In 3.15
2 In 0.2500 0.2500 0.2500  12 Cu 3.02, 4 Ca 3.15
3 Cu 0.1274 0.6242 0.6242  6 Cu 2.56-2.59
4 Cu 0.6242 0.1274 0.6242  6 Cu 2.56-2.59
5 Cu 0.6242 0.6242 0.1274  6 Cu 2.56-2.59
6 Cu 0.6242 0.6242 0.6242  6 Cu 2.56-2.59

Output
**Crystal system**: cubic
**Uncorrected energy**: -22.16 eV for the cell shown

---

DFT (PBE-GGA) results for a relaxed structure of Ca2B2Pt.

Unit cell a=3.0249 b=3.0249 c=17.7333 alpha=90.00 beta=90.00 gamma=90.00
With the nearest neighbours (Å) after each atom.
Fractional positions:
1 Ca 0.0000 0.0000 0.1158  4 B 2.82, 4 Pt 2.97, 4 Ca 3.02
2 Ca 0.0000 0.0000 0.8842  4 B 2.82, 4 Pt 2.97, 4 Ca 3.02
3 Ca 0.5000 0.5000 0.3842  4 B 2.82, 4 Pt 2.97, 4 Ca 3.02
4 Ca 0.5000 0.5000 0.6158  4 B 2.82, 4 Pt 2.97, 4 Ca 3.02
5 B 0.0000 0.5000 0.2500  4 B 2.14
6 B 0.0000 0.5000 0.7500  4 B 2.14
7 B 0.5000 0.0000 0.2500  4 B 2.14
8 B 0.5000 0.0000 0.7500  4 B 2.14
9 Pt 0.0000 0.0000 0.5000  8 Ca 2.97, 4 Pt 3.02
10 Pt 0.5000 0.5000 0.0000  8 Ca 2.97, 4 Pt 3.02

Output
**ΔE to the lowest computed polymorph**: 0.057 eV/atom
**Crystal system**: tetragonal

---

DFT (PBE-GGA) results for a relaxed structure of Pa2Si4Ir3W.

Unit cell a=4.1828 b=4.1828 c=9.8230 alpha=90.00 beta=90.00 gamma=90.00
With the nearest neighbours (Å) after each atom.
Fractional positions:
1 Pa 0.0000 0.5000 0.2477  8 Si 3.16-3.24, 2 W 3.21, 6 Ir 3.21-3.22
2 Pa 0.5000 0.0000 0.7523  8 Si 3.16-3.24, 2 W 3.21, 6 Ir 3.21-3.22
3 Si 0.0000 0.0000 0.5000  4 Ir 2.42
4 Si 0.0000 0.5000 0.8641  3 Ir 2.36-2.48, 2 W 2.48
5 Si 0.5000 0.0000 0.1359  3 Ir 2.36-2.48, 2 W 2.48
6 Si 0.5000 0.5000 0.5000  4 Ir 2.42
7 Ir 0.0000 0.0000 0.0000  4 Si 2.48
8 Ir 0.0000 0.5000 0.6236  5 Si 2.36-2.42
9 Ir 0.5000 0.0000 0.3764  5 Si 2.36-2.42
10 W 0.5000 0.5000 0.0000  4 Si 2.48

Output
**Formation energy without anion corrections**: -0.7752 eV/atom
**Crystal system**: tetragonal